# PmBPt2O6

Crystalline PmBPt2O6 at its relaxed geometry (PBE, the Alexandria database).

Unit cell a=7.110 b=7.017 c=7.017 alpha=52.36 beta=65.65 gamma=65.65
Element x y z (fractional)
Pm (0.750, 0.304, 0.696)
Pm (0.250, 0.696, 0.304)
O (0.442, 0.288, 0.612)
O (0.240, 0.955, 0.866)
O (0.260, 0.134, 0.045)
O (0.846, 0.232, 0.373)
O (0.740, 0.866, 0.955)
O (0.058, 0.388, 0.712)
O (0.760, 0.045, 0.134)
O (0.942, 0.612, 0.288)
O (0.154, 0.768, 0.627)
O (0.654, 0.627, 0.768)
O (0.558, 0.712, 0.388)
O (0.346, 0.373, 0.232)
B (0.250, 0.194, 0.806)
B (0.750, 0.806, 0.194)
Pt (0.392, 0.834, 0.634)
Pt (0.108, 0.366, 0.166)
Pt (0.608, 0.166, 0.366)
Pt (0.892, 0.634, 0.834)

Results
Raw total energy, eV per cell: -137.76
Symmetry: C2/c
Uncorrected formation energy, eV per formula unit: -15.62
DOS at the Fermi energy, states/eV/cell: 5.563
Magnetization, μB per cell: 0.00



# Rb3PmB2O6

Crystalline Rb3PmB2O6 at its relaxed geometry (PBE, the Alexandria database).

Unit cell a=5.740 b=5.740 c=7.275 alpha=90.00 beta=90.00 gamma=120.00
Element x y z (fractional)
B (0.667, 0.333, 0.694)
B (0.333, 0.667, 0.306)
Rb (0.667, 0.333, 0.253)
Rb (0.000, 0.000, 0.000)
Rb (0.333, 0.667, 0.747)
Pm (0.000, 0.000, 0.500)
O (0.193, 0.385, 0.307)
O (0.193, 0.807, 0.307)
O (0.615, 0.807, 0.307)
O (0.807, 0.193, 0.693)
O (0.807, 0.615, 0.693)
O (0.385, 0.193, 0.693)

Results
Raw total energy, eV per cell: -79.77
Symmetry: P-3m1
Uncorrected formation energy, eV per formula unit: -29.02
DOS at the Fermi energy, states/eV/cell: 0.000
Magnetization, μB per cell: 0.00



# RbPm3B4O12

Crystalline RbPm3B4O12 at its relaxed geometry (PBE, the Alexandria database).

Unit cell a=6.841 b=6.841 c=6.841 alpha=100.56 beta=100.56 gamma=100.56
Site moments in Bohr magnetons follow the coordinates.
Element x y z (fractional)
Rb (0.000, 0.000, 0.000)  0.00
Pm (0.000, 0.542, 0.458)  0.00
Pm (0.458, 0.000, 0.542)  0.00
Pm (0.542, 0.458, 0.000)  0.00
O (0.414, 0.998, 0.201)  0.20
O (0.500, 0.096, 0.904)  0.09
O (0.904, 0.500, 0.096)  0.09
O (0.368, 0.632, 0.500)  0.08
O (0.998, 0.201, 0.414)  0.20
O (0.500, 0.368, 0.632)  0.08
O (0.002, 0.586, 0.799)  0.20
O (0.096, 0.904, 0.500)  0.09
O (0.799, 0.002, 0.586)  0.20
O (0.586, 0.799, 0.002)  0.20
O (0.201, 0.414, 0.998)  0.20
O (0.632, 0.500, 0.368)  0.08
B (0.036, 0.500, 0.964)  -0.01
B (0.964, 0.036, 0.500)  -0.01
B (0.500, 0.500, 0.500)  -0.01
B (0.500, 0.964, 0.036)  -0.01

Results
Raw total energy, eV per cell: -154.34
Symmetry: R32
Uncorrected formation energy, eV per formula unit: -52.91
DOS at the Fermi energy, states/eV/cell: 9.741
Magnetization, μB per cell: 2.05



# Rb2PmBO4

Crystalline Rb2PmBO4 at its relaxed geometry (PBE, the Alexandria database).

Unit cell a=5.251 b=6.389 c=12.359 alpha=84.99 beta=77.73 gamma=65.74
Element x y z (fractional)
O (0.295, 0.159, 0.927)
O (0.546, 0.159, 0.073)
O (0.381, 0.841, 0.073)
O (0.972, 0.659, 0.573)
O (0.369, 0.659, 0.427)
O (0.455, 0.341, 0.573)
O (0.204, 0.341, 0.427)
O (0.778, 0.841, 0.927)
Pm (0.750, 0.500, 0.500)
Pm (0.000, 0.000, 0.000)
Rb (0.817, 0.000, 0.366)
Rb (0.933, 0.500, 0.134)
Rb (0.567, 0.500, 0.866)
Rb (0.183, 0.000, 0.634)
B (0.250, 0.500, 0.500)
B (0.500, 0.000, 0.000)

Results
Raw total energy, eV per cell: -98.04
Symmetry: Fddd
Uncorrected formation energy, eV per formula unit: -15.83
DOS at the Fermi energy, states/eV/cell: 0.000
Magnetization, μB per cell: 0.00



# PmReB2O8

Crystalline PmReB2O8 at its relaxed geometry (PBE, the Alexandria database).

Unit cell a=4.913 b=4.913 c=6.593 alpha=90.00 beta=90.00 gamma=120.00
Element x y z (fractional)
O (0.667, 0.333, 0.478)
O (0.655, 0.827, 0.824)
O (0.827, 0.173, 0.176)
O (0.173, 0.827, 0.824)
O (0.333, 0.667, 0.522)
O (0.345, 0.173, 0.176)
O (0.173, 0.345, 0.824)
O (0.827, 0.655, 0.176)
Pm (0.000, 0.000, 0.500)
B (0.667, 0.333, 0.269)
B (0.333, 0.667, 0.731)
Re (0.000, 0.000, 0.000)

Results
Raw total energy, eV per cell: -95.51
Symmetry: P-3m1
Uncorrected formation energy, eV per formula unit: -25.29
DOS at the Fermi energy, states/eV/cell: 3.061
Magnetization, μB per cell: 0.00



# PmB2RhO6

Crystalline PmB2RhO6 at its relaxed geometry (PBE, the Alexandria database).

Unit cell a=4.899 b=4.899 c=6.091 alpha=66.29 beta=66.29 gamma=60.00
Element x y z (fractional)
O (0.054, 0.491, 0.726)
O (0.946, 0.509, 0.274)
O (0.491, 0.730, 0.726)
O (0.509, 0.270, 0.274)
O (0.270, 0.946, 0.274)
O (0.730, 0.054, 0.726)
Rh (0.500, 0.500, 0.500)
B (0.237, 0.237, 0.288)
B (0.763, 0.763, 0.712)
Pm (0.000, 0.000, 0.000)

Results
Raw total energy, eV per cell: -77.85
Symmetry: R-3
Uncorrected formation energy, eV per formula unit: -22.65
DOS at the Fermi energy, states/eV/cell: 0.000
Magnetization, μB per cell: 0.00